11
Lattice="6.4953 0.0000 0.0000 2.9739 6.0143 0.0000 3.2001 2.0039 5.5793" Properties=species:S:1:pos:R:3 comment="CsNd2Fe2O6, optimized geometry, DFT PBE with a Hubbard U" magmom_total_mub_per_cell=9.0 energy_ev_per_atom=-6.853 sg=P-1 pbc="T T T"
Cs 0.0000 0.0000 0.0000
Nd 3.2308 0.9680 1.7359
Nd 9.4385 7.0501 3.8434
Fe 6.0651 4.6643 3.9016
Fe 6.6042 3.3538 1.6777
O 4.6540 5.6408 3.1423
O 6.0108 3.1745 4.9958
O 7.4324 5.9293 3.6449
O 5.2369 2.0889 1.9344
O 6.6586 4.8437 0.5834
O 8.0153 2.3774 2.4370